An optimized crystal structure of NaUPt2, computed with PBE.

Energy, eV/atom: -6.56
Crystal system: tetragonal
Formation energy, meV/atom: -388
Spin magnetization, μB per atom: 0.720
Density of states at the Fermi level, states/eV/f.u.: 4.50

Lattice parameters (Å, degrees): 5.216 5.216 2.858 90.00 90.00 90.00
Positions (direct):
1 Na 0.000 0.000 0.000
2 U 0.500 0.500 0.000
3 Pt 0.000 0.500 0.500
4 Pt 0.500 0.000 0.500

An optimized crystal structure of CoW2SeI, computed with PBE.

Energy, eV/atom: -4.61
Crystal system: tetragonal
Formation energy without anion corrections, eV per atom: 3.00
Spin magnetization, μB per atom: 0.552
Density of states at the Fermi level, states/eV/f.u.: 10.96

Lattice parameters (Å, degrees): 4.911 4.911 5.358 90.00 90.00 90.00
Positions (direct):
1 Co 0.000 0.000 0.000
2 W 0.000 0.500 0.500
3 W 0.500 0.000 0.500
4 Se 0.500 0.500 0.000
5 I 0.500 0.500 0.500

An optimized crystal structure of La8N4O, computed with PBE.

Energy, eV/atom: -7.18
Crystal system: cubic
Formation energy without anion corrections, eV per atom: -1.21
Spin magnetization, μB per atom: 0.190
Density of states at the Fermi level, states/eV/f.u.: 10.60

Lattice parameters (Å, degrees): 7.590 7.590 7.590 60.00 60.00 60.00
Positions (direct):
1 La 0.387 0.387 0.387
2 La 0.387 0.387 0.838
3 La 0.387 0.838 0.387
4 La 0.389 0.870 0.870
5 La 0.838 0.387 0.387
6 La 0.870 0.389 0.870
7 La 0.870 0.870 0.389
8 La 0.870 0.870 0.870
9 N 0.119 0.627 0.627
10 N 0.627 0.119 0.627
11 N 0.627 0.627 0.119
12 N 0.627 0.627 0.627
13 O 0.000 0.000 0.000

An optimized crystal structure of MgCdCu2, computed with PBE.

Energy, eV/atom: -2.61
Crystal system: monoclinic
Formation energy, meV/atom: 65
Spin magnetization, μB per atom: 0.000
Density of states at the Fermi level, states/eV/f.u.: 0.97

Lattice parameters (Å, degrees): 4.708 4.708 5.152 98.03 98.03 35.05
Positions (direct):
1 Mg 0.000 0.000 0.000
2 Cd 0.500 0.500 0.500
3 Cu 0.251 0.251 0.771
4 Cu 0.749 0.749 0.229

An optimized crystal structure of Nd6Pd2S, computed with PBE.

Energy, eV/atom: -5.55
Crystal system: monoclinic
Formation energy without anion corrections, eV per atom: -0.76
Spin magnetization, μB per atom: 0.000
Density of states at the Fermi level, states/eV/f.u.: 9.75

Lattice parameters (Å, degrees): 6.741 7.494 12.243 90.00 121.47 90.00
Positions (direct):
1 Nd 0.090 0.186 0.430
2 Nd 0.090 0.314 0.930
3 Nd 0.263 0.671 0.431
4 Nd 0.263 0.829 0.931
5 Nd 0.400 0.037 0.247
6 Nd 0.400 0.463 0.747
7 Nd 0.600 0.537 0.253
8 Nd 0.600 0.963 0.753
9 Nd 0.737 0.171 0.069
10 Nd 0.737 0.329 0.569
11 Nd 0.910 0.686 0.070
12 Nd 0.910 0.814 0.570
13 Pd 0.175 0.118 0.741
14 Pd 0.175 0.382 0.241
15 Pd 0.825 0.618 0.759
16 Pd 0.825 0.882 0.259
17 S 0.500 0.000 0.500
18 S 0.500 0.500 0.000

An optimized crystal structure of ZnBiF, computed with PBE.

Energy, eV/atom: -3.36
Crystal system: monoclinic
Formation energy without anion corrections, eV per atom: -1.01
Spin magnetization, μB per atom: 0.000
Density of states at the Fermi level, states/eV/f.u.: 0.30

Lattice parameters (Å, degrees): 6.575 8.054 5.681 90.00 91.81 90.00
Positions (direct):
1 Zn 0.086 0.114 0.099
2 Zn 0.086 0.386 0.599
3 Zn 0.914 0.614 0.401
4 Zn 0.914 0.886 0.901
5 Bi 0.363 0.660 0.516
6 Bi 0.363 0.840 0.016
7 Bi 0.637 0.160 0.984
8 Bi 0.637 0.340 0.484
9 F 0.154 0.179 0.425
10 F 0.154 0.321 0.925
11 F 0.846 0.679 0.075
12 F 0.846 0.821 0.575

An optimized crystal structure of NpTl3Pd12, computed with PBE.

Energy, eV/atom: -5.42
Crystal system: tetragonal
Formation energy, meV/atom: -273
Spin magnetization, μB per atom: 0.167
Density of states at the Fermi level, states/eV/f.u.: 20.27

Lattice parameters (Å, degrees): 4.096 4.096 16.419 90.00 90.00 90.00
Positions (direct):
1 Np 0.000 0.000 0.000
2 Tl 0.000 0.000 0.254
3 Tl 0.000 0.000 0.500
4 Tl 0.000 0.000 0.746
5 Pd 0.000 0.500 0.122
6 Pd 0.000 0.500 0.376
7 Pd 0.000 0.500 0.624
8 Pd 0.000 0.500 0.878
9 Pd 0.500 0.000 0.122
10 Pd 0.500 0.000 0.376
11 Pd 0.500 0.000 0.624
12 Pd 0.500 0.000 0.878
13 Pd 0.500 0.500 0.000
14 Pd 0.500 0.500 0.248
15 Pd 0.500 0.500 0.500
16 Pd 0.500 0.500 0.752

An optimized crystal structure of Ac6Ga2Hg, computed with PBE.

Energy, eV/atom: -3.75
Crystal system: orthorhombic
Formation energy, meV/atom: -310
Spin magnetization, μB per atom: 0.000
Density of states at the Fermi level, states/eV/f.u.: 10.61

Lattice parameters (Å, degrees): 9.502 9.502 9.502 111.22 110.74 106.49
Positions (direct):
1 Ac 0.051 0.247 0.804
2 Ac 0.175 0.271 0.446
3 Ac 0.175 0.729 0.904
4 Ac 0.327 0.027 0.700
5 Ac 0.327 0.627 0.300
6 Ac 0.443 0.247 0.196
7 Ac 0.557 0.753 0.804
8 Ac 0.673 0.373 0.700
9 Ac 0.673 0.973 0.300
10 Ac 0.825 0.271 0.096
11 Ac 0.825 0.729 0.554
12 Ac 0.949 0.753 0.196
13 Ga 0.116 0.616 0.500
14 Ga 0.354 0.000 0.354
15 Ga 0.646 0.000 0.646
16 Ga 0.884 0.384 0.500
17 Hg 0.000 0.000 0.000
18 Hg 0.500 0.500 0.000

An optimized crystal structure of NaCBr2O, computed with PBE.

Energy, eV/atom: -2.23
Crystal system: tetragonal
Formation energy without anion corrections, eV per atom: 1.54
Spin magnetization, μB per atom: 0.356
Density of states at the Fermi level, states/eV/f.u.: 8.37

Lattice parameters (Å, degrees): 5.397 5.397 4.224 90.00 90.00 90.00
Positions (direct):
1 Na 0.000 0.000 0.000
2 C 0.500 0.500 0.500
3 Br 0.000 0.500 0.000
4 Br 0.500 0.000 0.000
5 O 0.000 0.000 0.500

An optimized crystal structure of ScTi2InC, computed with PBE.

Energy, eV/atom: -7.38
Crystal system: tetragonal
Formation energy, meV/atom: -558
Spin magnetization, μB per atom: 0.000
Density of states at the Fermi level, states/eV/f.u.: 3.83

Lattice parameters (Å, degrees): 4.281 4.281 4.483 90.00 90.00 90.00
Positions (direct):
1 Sc 0.000 0.000 0.000
2 Ti 0.000 0.500 0.500
3 Ti 0.500 0.000 0.500
4 In 0.500 0.500 0.000
5 C 0.000 0.000 0.500

An optimized crystal structure of TmThMg2, computed with PBE.

Energy, eV/atom: -3.72
Crystal system: orthorhombic
Formation energy, meV/atom: 47
Spin magnetization, μB per atom: 0.000
Density of states at the Fermi level, states/eV/f.u.: 4.48

Lattice parameters (Å, degrees): 6.372 6.372 6.372 146.56 129.07 62.31
Positions (direct):
1 Tm 0.000 0.000 0.000
2 Th 0.736 0.236 0.500
3 Mg 0.256 0.756 0.500
4 Mg 0.470 0.470 0.000

An optimized crystal structure of HoTiS2, computed with PBE.

Energy, eV/atom: -6.75
Crystal system: trigonal
Formation energy without anion corrections, eV per atom: -1.57
Spin magnetization, μB per atom: 0.000
Density of states at the Fermi level, states/eV/f.u.: 2.24

Lattice parameters (Å, degrees): 6.352 6.352 6.352 34.11 34.11 34.11
Positions (direct):
1 Ho 0.000 0.000 0.000
2 Ti 0.500 0.500 0.500
3 S 0.242 0.242 0.242
4 S 0.758 0.758 0.758